# Tl4Hg3Pb2

A relaxed Tl4Hg3Pb2 crystal (PBE, the Alexandria database).

It has space group C2/c (No. 15), with a = 15.544 Å, b = 11.446 Å, c = 6.012 Å, α = 90.00°, β = 95.36° and γ = 90.00°. The inequivalent atoms are Tl at (0.055, 0.129, 0.015), Tl at (0.221, 0.376, 0.862), Hg at (0.000, 0.380, 0.750), Hg at (0.167, 0.124, 0.577) and Pb at (0.107, 0.370, 0.323).

The total energy is -70.534 eV/cell. For the energy of formation from the pure elements, the calculation gives 0.017 eV/atom. The magnetization comes out at 0.00 μB per cell.